Entry 1:
{
  "formula": "ScRu3",
  "functional": "PBE-GGA",
  "state": "optimized geometry",
  "lattice_angstrom": [[-0.923, 1.353, 2.211], [-2.438, -3.206, 0.943], [3.383, -1.331, 4.223]],
  "species": ["Ru", "Ru", "Ru", "Sc"],
  "frac_coords": [[0.250, 0.500, 0.250], [0.908, 0.000, 0.011], [0.592, 0.000, 0.489], [0.750, 0.500, 0.750]],
  "formation_enthalpy_0k_mev_per_atom": 15
}

***

Entry 2:
{
  "formula": "Li2LaAsC",
  "functional": "PBE-GGA",
  "state": "optimized geometry",
  "lattice_angstrom": [[4.366, 0.000, 0.000], [0.000, 4.652, 0.000], [0.000, 0.000, 4.366]],
  "species": ["La", "C", "Li", "Li", "As"],
  "frac_coords": [[0.500, 0.500, 0.500], [0.000, 0.500, 0.000], [0.000, 0.000, 0.500], [0.500, 0.000, 0.000], [0.000, 0.000, 0.000]],
  "formation_enthalpy_0k_mev_per_atom": 440
}

***

Entry 3:
{
  "formula": "Sm2YAg",
  "functional": "PBE-GGA",
  "state": "optimized geometry",
  "lattice_angstrom": [[3.762, -0.159, 0.000], [-1.617, 6.327, 0.000], [0.000, 0.000, 10.015]],
  "species": ["Sm", "Sm", "Sm", "Sm", "Ag", "Ag", "Y", "Y"],
  "frac_coords": [[0.867, 0.736, 0.951], [0.867, 0.736, 0.549], [0.133, 0.264, 0.451], [0.133, 0.264, 0.049], [0.254, 0.510, 0.750], [0.746, 0.490, 0.250], [0.556, 0.112, 0.750], [0.444, 0.888, 0.250]],
  "formation_enthalpy_0k_mev_per_atom": -120,
  "de_polymorph_ev_per_fu": 0.02
}

***

Entry 4:
{
  "formula": "RePtCl2",
  "functional": "PBE-GGA",
  "state": "optimized geometry",
  "lattice_angstrom": [[-2.632, -2.414, 2.688], [-3.332, 1.977, 2.229], [-4.243, -0.797, -1.155]],
  "species": ["Cl", "Cl", "Pt", "Re"],
  "frac_coords": [[0.750, 0.750, 0.750], [0.250, 0.250, 0.250], [0.500, 0.500, 0.500], [0.000, 0.000, 0.000]],
  "de_polymorph_ev_per_fu": 5.13,
  "formation_energy_uncorrected_ev_per_atom": 1.30
}

***

Entry 5:
{
  "formula": "ThB2Ir2",
  "functional": "PBE-GGA",
  "state": "optimized geometry",
  "lattice_angstrom": [[-0.950, 3.545, -1.119], [-2.875, -1.541, -2.441], [-5.871, 0.752, 7.364]],
  "species": ["Th", "Th", "Ir", "Ir", "Ir", "Ir", "B", "B", "B", "B"],
  "frac_coords": [[0.250, 0.718, 0.242], [0.750, 0.282, 0.758], [0.750, 0.188, 0.090], [0.750, 0.750, 0.503], [0.250, 0.812, 0.910], [0.250, 0.250, 0.497], [0.750, 0.233, 0.386], [0.250, 0.767, 0.614], [0.250, 0.319, 0.992], [0.750, 0.681, 0.008]],
  "formation_enthalpy_0k_mev_per_atom": -605
}

***

Entry 6:
{
  "formula": "KFeCo2",
  "functional": "PBE-GGA",
  "state": "optimized geometry",
  "lattice_angstrom": [[5.142, -0.142, 0.000], [-1.807, 4.816, 0.000], [0.000, 0.000, 2.523]],
  "species": ["Fe", "K", "Co", "Co"],
  "frac_coords": [[0.500, 0.000, 0.500], [0.000, 0.500, 0.500], [0.000, 0.000, 0.000], [0.500, 0.500, 0.000]],
  "formation_enthalpy_0k_mev_per_atom": 1154,
  "de_polymorph_ev_per_fu": 2.08
}

***

Entry 7:
{
  "formula": "AcMg2Hg",
  "functional": "PBE-GGA",
  "state": "optimized geometry",
  "lattice_angstrom": [[-2.624, -3.335, -2.549], [8.631, -3.429, -4.399], [-1.949, -2.586, 10.196]],
  "species": ["Mg", "Mg", "Mg", "Mg", "Mg", "Mg", "Mg", "Mg", "Hg", "Hg", "Hg", "Hg", "Ac", "Ac", "Ac", "Ac"],
  "frac_coords": [[0.076, 0.576, 0.152], [0.089, 0.089, 0.179], [0.924, 0.424, 0.848], [0.691, 0.342, 0.381], [0.309, 0.961, 0.619], [0.691, 0.039, 0.381], [0.309, 0.658, 0.619], [0.911, 0.911, 0.821], [0.852, 0.116, 0.704], [0.148, 0.884, 0.296], [0.148, 0.412, 0.296], [0.852, 0.588, 0.704], [0.293, 0.293, 0.586], [0.707, 0.707, 0.414], [0.500, 0.247, 0.000], [0.500, 0.753, 0.000]],
  "formation_enthalpy_0k_mev_per_atom": -228,
  "de_polymorph_ev_per_fu": 0.17
}

***

Entry 8:
{
  "formula": "NaHfNb2",
  "functional": "PBE-GGA",
  "state": "optimized geometry",
  "lattice_angstrom": [[0.000, 3.415, 3.415], [3.415, 0.000, 3.415], [3.415, 3.415, 0.000]],
  "species": ["Nb", "Nb", "Na", "Hf"],
  "frac_coords": [[0.250, 0.250, 0.250], [0.750, 0.750, 0.750], [0.000, 0.000, 0.000], [0.500, 0.500, 0.500]],
  "formation_enthalpy_0k_mev_per_atom": 806,
  "de_polymorph_ev_per_fu": 0.00
}

***

Entry 9:
{
  "formula": "CaPrSmHg",
  "functional": "PBE-GGA",
  "state": "optimized geometry",
  "lattice_angstrom": [[-2.959, -0.023, 2.215], [1.321, -2.985, 1.733], [4.548, 5.575, 6.135]],
  "species": ["Pr", "Ca", "Sm", "Hg"],
  "frac_coords": [[0.000, 0.000, 0.088], [0.500, 0.500, 0.774], [0.500, 0.500, 0.357], [0.000, 0.000, 0.565]],
  "formation_enthalpy_0k_mev_per_atom": -243,
  "de_polymorph_ev_per_fu": 0.00
}

***

Entry 10:
{
  "formula": "CaFeNi2",
  "functional": "PBE-GGA",
  "state": "optimized geometry",
  "lattice_angstrom": [[4.028, 0.000, 0.000], [0.000, 2.926, 0.168], [0.000, 1.212, 5.477]],
  "species": ["Fe", "Ca", "Ni", "Ni"],
  "frac_coords": [[0.500, 0.756, 0.869], [0.000, 0.453, 0.457], [0.000, 0.214, 0.957], [0.500, 0.077, 0.217]],
  "formation_enthalpy_0k_mev_per_atom": 217
}

***

Entry 11:
{
  "formula": "CaTlHOs2",
  "functional": "PBE-GGA",
  "state": "optimized geometry",
  "lattice_angstrom": [[-2.552, -3.108, -0.934], [2.767, -2.854, 1.938], [-1.965, 0.534, 3.592]],
  "species": ["Os", "Os", "H", "Ca", "Tl"],
  "frac_coords": [[0.500, 0.000, 0.000], [0.000, 0.000, 0.500], [0.000, 0.000, 0.000], [0.000, 0.500, 0.000], [0.500, 0.500, 0.500]],
  "de_polymorph_ev_per_fu": 0.00
}

***

Entry 12:
{
  "formula": "Pr2NdEr5",
  "functional": "PBE-GGA",
  "state": "optimized geometry",
  "lattice_angstrom": [[-5.015, 2.493, -0.260], [1.836, -1.990, 5.968], [6.928, 14.204, 2.604]],
  "species": ["Er", "Er", "Er", "Er", "Er", "Er", "Er", "Er", "Er", "Er", "Pr", "Pr", "Pr", "Pr", "Nd", "Nd"],
  "frac_coords": [[0.614, 0.227, 0.552], [0.082, 0.164, 0.414], [0.386, 0.773, 0.052], [0.614, 0.227, 0.948], [0.082, 0.164, 0.086], [0.386, 0.773, 0.448], [0.918, 0.836, 0.914], [0.458, 0.917, 0.750], [0.542, 0.083, 0.250], [0.918, 0.836, 0.586], [0.782, 0.564, 0.126], [0.218, 0.436, 0.874], [0.782, 0.564, 0.374], [0.218, 0.436, 0.626], [0.259, 0.518, 0.250], [0.741, 0.482, 0.750]],
  "formation_enthalpy_0k_mev_per_atom": 149,
  "de_polymorph_ev_per_fu": 0.00
}

***

| no. | electronic total energy (eV per cell) | total magnetic moment (μB/atom) |
| --- | --- | --- |
| 1 | -34.10 | 0.00 |
| 2 | -20.43 | 0.00 |
| 3 | -38.47 | 0.00 |
| 4 | -16.98 | 0.00 |
| 5 | -83.05 | 0.00 |
| 6 | -19.16 | 1.49 |
| 7 | -34.05 | 0.00 |
| 8 | -28.19 | 0.00 |
| 9 | -12.77 | 0.00 |
| 10 | -21.16 | 0.87 |
| 11 | -27.38 | 0.00 |
| 12 | -71.90 | 0.00 |